Entry 1:
Below is FeB4 after structural relaxation, with properties calculated at the PBE level.

Lattice parameters (Å, degrees): 3.602 2.713 9.693 90.00 94.15 90.00
Fractional positions:
B1 0.746 0.000 0.846
B2 0.121 0.000 0.125
B3 0.469 0.000 0.704
B4 0.981 0.000 0.707
B5 0.700 0.000 0.560
B6 0.146 0.000 0.302
B7 0.657 0.000 0.393
B8 0.777 0.000 0.009
Fe1 0.258 0.000 0.917
Fe2 0.627 0.000 0.197

Results
As for the volume: 9.45 Å³/atom. The space-group type is Pm. The calculation puts the calculated total energy at -6.4963 eV per atom.

***

Entry 2:
Below is Zr2ScSi2 after structural relaxation, with properties calculated at the PBE level.

Lattice parameters (Å, degrees): 7.170 7.170 7.170 148.42 148.42 45.27
Fractional positions:
Si1 0.750 0.250 0.500
Si2 0.250 0.750 0.500
Sc1 0.000 0.000 0.000
Zr1 0.393 0.393 0.000
Zr2 0.607 0.607 0.000

Results
As for the volume: 20.15 Å³/atom. The space-group type is I4/mmm. The calculation puts the calculated total energy at -6.8033 eV per atom.

***

Entry 3:
Below is HgI2 after structural relaxation, with properties calculated at the PBE level.

Lattice parameters (Å, degrees): 4.457 4.486 12.764 90.00 90.00 90.00
Fractional positions:
I1 0.500 0.000 0.138
I2 0.500 0.000 0.640
I3 0.000 0.500 0.362
I4 0.000 0.500 0.860
Hg1 0.000 0.000 0.500
Hg2 0.500 0.500 0.999

Results
As for the volume: 42.54 Å³/atom. The space-group type is Pmm2. The calculation puts the calculated total energy at -1.4206 eV per atom.

***

Entry 4:
Below is YCuTc2 after structural relaxation, with properties calculated at the PBE level.

Lattice parameters (Å, degrees): 4.538 4.538 4.538 60.00 60.00 60.00
Fractional positions:
Tc1 0.750 0.750 0.750
Tc2 0.000 0.000 0.000
Y1 0.500 0.500 0.500
Cu1 0.250 0.250 0.250

Results
The formation energy is 0.17 eV per atom. As for the volume: 16.52 Å³/atom. The space-group type is F-43m.

***

Entry 5:
Below is Nd3Sm3Te2Os after structural relaxation, with properties calculated at the PBE level.

Lattice parameters (Å, degrees): 8.609 8.609 4.041 90.00 90.00 120.00
Fractional positions:
Nd1 0.000 0.758 0.500
Nd2 0.242 0.242 0.500
Nd3 0.758 0.000 0.500
Te1 0.667 0.333 0.500
Te2 0.333 0.667 0.500
Sm1 0.404 0.000 0.000
Sm2 0.596 0.596 0.000
Sm3 0.000 0.404 0.000
Os1 0.000 0.000 0.000

Results
As for the volume: 28.82 Å³/atom. The space-group type is P-62m. Its energy above the most stable polymorph in this dataset is 3.88 kJ/mol of atoms.

***

Entry 6:
Below is HfZrAl2Pd4 after structural relaxation, with properties calculated at the PBE level.

Lattice parameters (Å, degrees): 4.293 4.293 8.599 90.00 90.00 120.00
Fractional positions:
Pd1 0.000 0.000 0.834
Pd2 0.667 0.333 0.662
Pd3 0.000 0.000 0.166
Pd4 0.667 0.333 0.338
Hf1 0.000 0.000 0.500
Al1 0.333 0.667 0.250
Al2 0.333 0.667 0.750
Zr1 0.667 0.333 0.000

Results
As for the volume: 17.16 Å³/atom. The space-group type is P-6m2. The calculation puts the calculated total energy at -6.6619 eV per atom.